Compound: BaYGaO4
Source: Alexandria via LeMat-Bulk
Functional: GGA-PBE
Structure: optimized geometry

Unit cell a=5.771 b=5.869 c=7.251 alpha=90.00 beta=108.30 gamma=90.00
Atoms (fractional coordinates):
Ba 0.286 0.250 0.067
Y 0.807 0.750 0.462
Y 0.193 0.250 0.538
O 0.458 0.750 0.173
O 0.484 0.750 0.577
O 0.516 0.250 0.423
O 0.971 0.014 0.698
Ga 0.739 0.250 0.668
O 0.029 0.986 0.302
Ga 0.261 0.750 0.332
O 0.971 0.486 0.698
Ba 0.714 0.750 0.933
O 0.542 0.250 0.827
O 0.029 0.514 0.302

Output
The magnetization is 0.0 μB per formula unit. The uncorrected formation energy comes out at -257 kJ/mol of atoms. As for the crystal system: monoclinic.

---

Compound: Ba6Y2Ga4O15
Source: Alexandria via LeMat-Bulk
Functional: GGA-PBE
Structure: optimized geometry

Unit cell a=6.045 b=8.059 c=18.702 alpha=91.20 beta=90.00 gamma=90.00
Atoms (fractional coordinates):
Y 0.252 0.247 0.910
O 0.954 0.724 0.191
O 0.482 0.765 0.496
Ga 0.225 0.770 0.233
O 0.447 0.247 0.338
O 0.805 0.000 0.750
Ba 0.248 0.027 0.091
O 0.046 0.276 0.809
O 0.233 0.048 0.609
O 0.767 0.048 0.109
O 0.980 0.768 0.510
O 0.553 0.247 0.838
Ba 0.245 0.500 0.421
Ba 0.752 0.027 0.591
O 0.553 0.753 0.662
O 0.482 0.235 0.004
O 0.046 0.724 0.691
O 0.233 0.952 0.891
O 0.758 0.533 0.410
O 0.242 0.533 0.910
O 0.667 0.311 0.684
O 0.758 0.467 0.090
O 0.954 0.276 0.309
O 0.333 0.689 0.316
Y 0.252 0.753 0.590
O 0.767 0.952 0.391
O 0.518 0.765 0.996
Ba 0.755 0.500 0.921
O 0.242 0.467 0.590
O 0.667 0.689 0.816
Ga 0.745 0.755 0.442
Y 0.748 0.247 0.410
Ba 0.670 0.500 0.250
O 0.020 0.768 0.010
Ga 0.255 0.245 0.558
Ba 0.724 0.000 0.250
O 0.020 0.232 0.490
Ba 0.245 0.500 0.079
Ga 0.255 0.755 0.942
Ga 0.775 0.230 0.767
Ba 0.752 0.973 0.909
Y 0.748 0.753 0.090
Ba 0.276 0.000 0.750
Ba 0.330 0.500 0.750
Ba 0.755 0.500 0.579
Ga 0.225 0.230 0.267
O 0.195 0.000 0.250
Ga 0.745 0.245 0.058
Ba 0.248 0.973 0.409
O 0.518 0.235 0.504
O 0.333 0.311 0.184
O 0.980 0.232 0.990
Ga 0.775 0.770 0.733
O 0.447 0.753 0.162

Output
The magnetization is 0.0 μB per formula unit. The uncorrected formation energy comes out at -251 kJ/mol of atoms. As for the crystal system: monoclinic.

---

Compound: Ba2YGa2O6
Source: Alexandria via LeMat-Bulk
Functional: GGA-PBE
Structure: optimized geometry

Unit cell a=6.095 b=6.095 c=7.005 alpha=64.21 beta=64.21 gamma=60.00
Atoms (fractional coordinates):
Ga 0.431 0.431 0.706
O 0.241 0.757 0.246
O 0.243 0.243 0.754
Ba 0.789 0.789 0.632
Ba 0.211 0.211 0.368
Ga 0.569 0.569 0.294
O 0.759 0.243 0.754
O 0.757 0.241 0.246
Y 0.000 0.000 0.000
O 0.757 0.757 0.246
O 0.243 0.759 0.754

Output
The magnetization is 1.0 μB per formula unit. The uncorrected formation energy comes out at -228 kJ/mol of atoms. As for the crystal system: trigonal.

---

Compound: Ba3YGa2O8
Source: Alexandria via LeMat-Bulk
Functional: GGA-PBE
Structure: optimized geometry

Unit cell a=6.020 b=6.020 c=7.649 alpha=90.00 beta=90.00 gamma=120.00
Atoms (fractional coordinates):
O 0.661 0.831 0.319
O 0.339 0.169 0.681
O 0.169 0.831 0.319
Ga 0.333 0.667 0.219
Ba 0.333 0.667 0.655
O 0.333 0.667 0.982
O 0.667 0.333 0.018
Y 0.000 0.000 0.500
O 0.169 0.339 0.319
Ba 0.000 0.000 0.000
O 0.831 0.661 0.681
O 0.831 0.169 0.681
Ba 0.667 0.333 0.345
Ga 0.667 0.333 0.781

Output
The magnetization is 1.1 μB per formula unit. The uncorrected formation energy comes out at -235 kJ/mol of atoms. As for the crystal system: trigonal.